Record 1
Here is K3Ho3SbO8 after structural relaxation from Alexandria via LeMat-Bulk. Energies are from GGA-PBE.

Cell and atoms, written as POSCAR:
```
K3Ho3SbO8
1.0
-6.366 -1.142 2.259
5.245 0.032 4.408
-2.170 6.575 -2.790
Ho O Sb K
3 8 1 3
direct
0.000 0.500 0.500
0.500 0.500 0.500
0.500 0.000 0.500
0.216 0.959 0.675
0.784 0.567 0.325
0.726 0.453 0.679
0.257 0.041 0.325
0.216 0.433 0.675
0.274 0.547 0.321
0.784 0.041 0.325
0.743 0.959 0.675
0.000 0.000 0.500
0.500 0.500 0.000
0.000 0.000 0.000
0.000 0.500 0.000
```

Computed properties:
Space group: R-3m (166)
Formation energy (no corrections): -3616 kJ/mol of formula units
DOS at the Fermi energy: 0.128 states/eV per atom



Record 2
Here is CaCrCd2 after structural relaxation from Alexandria via LeMat-Bulk. Energies are from GGA-PBE.

Cell and atoms, written as POSCAR:
```
CaCrCd2
1.0
3.551 0.000 0.000
0.000 3.596 0.000
0.000 0.000 7.221
Ca Cd Cr
1 2 1
direct
0.500 0.500 0.750
0.000 0.000 0.461
0.000 0.000 0.039
0.500 0.500 0.250
```

Computed properties:
Space group: Pmmm (47)
DOS at the Fermi energy: 0.786 states/eV per atom
ΔH_f (0 K): 0.099 eV per atom



Record 3
Here is Ta2WAu after structural relaxation from Alexandria via LeMat-Bulk. Energies are from GGA-PBE.

Cell and atoms, written as POSCAR:
```
Ta2WAu
1.0
4.331 0.000 0.000
0.000 2.808 -0.005
0.000 1.780 5.773
Ta Au W
2 1 1
direct
0.000 0.062 0.013
0.000 0.438 0.487
0.500 0.750 0.750
0.500 0.250 0.250
```

Computed properties:
Space group: P2/m (10)
Distance to the lowest polymorph of the same formula: 119 meV per atom
DOS at the Fermi energy: 0.548 states/eV per atom
ΔH_f (0 K): 0.073 eV per atom



Record 4
Here is Zr2TcGeSb after structural relaxation from Alexandria via LeMat-Bulk. Energies are from GGA-PBE.

Cell and atoms, written as POSCAR:
```
Zr2TcGeSb
1.0
5.278 0.000 0.000
0.000 4.809 0.000
0.000 0.000 5.278
Zr Ge Tc Sb
2 1 1 1
direct
0.500 0.000 0.000
0.000 0.000 0.500
0.500 0.500 0.500
0.000 0.500 0.000
0.000 0.000 0.000
```

Computed properties:
Space group: P4/mmm (123)
Formation energy (no corrections): 511 kJ/mol of formula units
DOS at the Fermi energy: 1.785 states/eV per atom



Record 5
Here is Li2Zn3Au3 after structural relaxation from Alexandria via LeMat-Bulk. Energies are from GGA-PBE.

Cell and atoms, written as POSCAR:
```
Li2Zn3Au3
1.0
4.543 0.000 -0.899
-2.272 4.296 0.450
-3.463 0.000 14.443
Au Li Zn
6 4 6
direct
0.796 0.698 0.087
0.902 0.698 0.413
0.662 0.324 0.250
0.204 0.302 0.913
0.338 0.676 0.750
0.098 0.302 0.587
0.776 0.658 0.588
0.224 0.342 0.412
0.118 0.342 0.088
0.882 0.658 0.912
0.449 0.020 0.082
0.551 0.980 0.918
0.353 0.706 0.250
0.571 0.020 0.418
0.429 0.980 0.582
0.647 0.294 0.750
```

Computed properties:
Space group: C2/c (15)
Distance to the lowest polymorph of the same formula: 0 meV per atom
DOS at the Fermi energy: 0.151 states/eV per atom
ΔH_f (0 K): -0.314 eV per atom



Record 6
Here is BaTiSeO6 after structural relaxation from Alexandria via LeMat-Bulk. Energies are from GGA-PBE.

Cell and atoms, written as POSCAR:
```
BaTiSeO6
1.0
-3.780 0.493 -3.441
-0.806 -3.693 -3.477
-3.652 -2.626 3.636
O Ba Ti Se
6 1 1 1
direct
0.619 0.401 0.684
0.979 0.619 0.684
0.401 0.979 0.684
0.619 0.979 0.316
0.979 0.401 0.316
0.401 0.619 0.316
0.000 0.000 0.000
0.333 0.333 0.500
0.667 0.667 0.500
```

Computed properties:
Space group: P312 (149)
Formation energy (no corrections): -1746 kJ/mol of formula units
DOS at the Fermi energy: 0.000 states/eV per atom



Which of these has the lowest DOS at the Fermi energy?
BaTiSeO6